Computed, not measured: La2MnNiO6 after structural relaxation at the PBE+U level of DFT.

- Final energy: -7.29 eV/atom
- Magnetization: 1.93 μB/cell

POSCAR file:
```
La2MnNiO6
1.0
-3.423 0.201 4.360
-4.347 0.093 -3.417
-0.294 -7.809 0.128
La Mn Ni O
4 2 2 12
Direct
0.464 0.507 0.750
0.036 0.007 0.250
0.536 0.493 0.250
0.964 0.993 0.750
0.500 0.000 0.500
0.000 0.500 0.000
0.000 0.500 0.500
0.500 0.000 0.000
0.295 0.275 0.460
0.205 0.775 0.960
0.705 0.725 0.540
0.795 0.225 0.040
0.723 0.704 0.959
0.777 0.204 0.459
0.277 0.296 0.041
0.223 0.796 0.541
0.515 0.076 0.740
0.985 0.576 0.240
0.485 0.924 0.260
0.015 0.424 0.760
```